DFT (GGA-PBE) results for crystalline Cs2Tl2Ge at its relaxed geometry.

Computed properties:
total magnetic moment = 0.0 μB/cell
calculated formation energy = 0.30 eV/f.u.
crystal system = tetragonal

Lattice parameters (Å, degrees): 7.941 7.941 6.430 90.00 90.00 90.00
Space group P4/mbm (No. 127)
One atom of each set of equivalent atoms:
Cs 0.180 0.320 0.000 [4 per cell]
Tl 0.143 0.643 0.500 [4 per cell]
Ge 0.000 0.000 0.500 [2 per cell]

DFT (GGA-PBE) results for crystalline Mg4ZnSe2 at its relaxed geometry.

Computed properties:
formation energy from raw total energies = -3.44 eV/f.u.
distance to the lowest polymorph of the same formula = 0.000 eV/atom
total magnetic moment = 0.0 μB/cell
crystal system = tetragonal

Lattice parameters (Å, degrees): 7.379 7.379 11.704 90.00 90.00 90.00
Space group I4/mcm (No. 140)
One atom of each set of equivalent atoms:
Mg 0.149 0.351 0.144 [16 per cell]
Zn 0.000 0.000 0.250 [4 per cell]
Se 0.159 0.341 0.500 [8 per cell]

DFT (GGA-PBE) results for crystalline Be2SBr at its relaxed geometry.

Computed properties:
formation energy from raw total energies = -2.82 eV/f.u.
distance to the lowest polymorph of the same formula = 0.000 eV/atom
total magnetic moment = 0.0 μB/cell
crystal system = tetragonal

Lattice parameters (Å, degrees): 5.040 5.040 16.061 90.00 90.00 90.00
Space group I-42m (No. 121)
One atom of each set of equivalent atoms:
Be 0.156 0.156 0.049 [8 per cell]
S 0.000 0.500 0.000 [4 per cell]
Br 0.000 0.000 0.166 [4 per cell]

DFT (GGA-PBE) results for crystalline Sm3Ge4Pd7 at its relaxed geometry.

Computed properties:
total magnetic moment = 0.0 μB/cell
calculated formation energy = -11.75 eV/f.u.
crystal system = monoclinic

Lattice parameters (Å, degrees): 15.899 4.141 9.683 90.00 125.53 90.00
Space group C2/m (No. 12)
One atom of each set of equivalent atoms:
Sm 0.000 0.000 0.000 [2 per cell]
Sm 0.176 0.500 0.673 [4 per cell]
Ge 0.109 0.000 0.826 [4 per cell]
Ge 0.163 0.500 0.266 [4 per cell]
Pd 0.000 0.000 0.500 [2 per cell]
Pd 0.010 0.500 0.284 [4 per cell]
Pd 0.169 0.000 0.426 [4 per cell]
Pd 0.193 0.500 0.032 [4 per cell]

DFT (GGA-PBE) results for crystalline CsP2Pt at its relaxed geometry.

Computed properties:
distance to the lowest polymorph of the same formula = 1.044 eV/atom
total magnetic moment = 0.0 μB/cell
calculated formation energy = 3.61 eV/f.u.
crystal system = cubic

Lattice parameters (Å, degrees): 6.974 6.974 6.974 90.00 90.00 90.00
Space group Fm-3m (No. 225)
One atom of each set of equivalent atoms:
Cs 0.000 0.000 0.000 [4 per cell]
P 0.250 0.250 0.250 [8 per cell]
Pt 0.000 0.000 0.500 [4 per cell]

DFT (GGA-PBE) results for crystalline Sr2LiTl3 at its relaxed geometry.

Computed properties:
distance to the lowest polymorph of the same formula = 0.009 eV/atom
total magnetic moment = 0.0 μB/cell
calculated formation energy = -1.99 eV/f.u.
crystal system = orthorhombic

Lattice parameters (Å, degrees): 7.912 10.390 17.973 90.00 90.00 90.00
Space group Fmmm (No. 69)
One atom of each set of equivalent atoms:
Sr 0.244 0.000 0.000 [8 per cell]
Sr 0.250 0.250 0.250 [8 per cell]
Li 0.000 0.000 0.333 [8 per cell]
Tl 0.000 0.000 0.175 [8 per cell]
Tl 0.000 0.239 0.413 [16 per cell]

DFT (GGA-PBE) results for crystalline KBaSb2Te at its relaxed geometry.

Computed properties:
formation energy from raw total energies = 0.81 eV/f.u.
distance to the lowest polymorph of the same formula = 0.035 eV/atom
total magnetic moment = 0.0 μB/cell
crystal system = tetragonal

Lattice parameters (Å, degrees): 5.864 5.864 6.035 90.00 90.00 90.00
Space group P4/mmm (No. 123)
One atom of each set of equivalent atoms:
K 0.000 0.000 0.000 [1 per cell]
Ba 0.500 0.500 0.500 [1 per cell]
Sb 0.000 0.500 0.000 [2 per cell]
Te 0.000 0.000 0.500 [1 per cell]

DFT (GGA-PBE) results for crystalline Pm2PdRuO8 at its relaxed geometry.

Computed properties:
formation energy from raw total energies = -20.42 eV/f.u.
total magnetic moment = 0.0 μB/cell
crystal system = triclinic

Lattice parameters (Å, degrees): 4.448 5.870 6.342 82.74 86.43 75.67
Space group P-1 (No. 2)
One atom of each set of equivalent atoms:
Pm 0.214 0.047 0.224 [2 per cell]
Pd 0.500 0.500 0.000 [1 per cell]
Ru 0.500 0.500 0.500 [1 per cell]
O 0.196 0.781 0.521 [2 per cell]
O 0.264 0.422 0.274 [2 per cell]
O 0.281 0.856 0.923 [2 per cell]
O 0.338 0.348 0.763 [2 per cell]

DFT (GGA-PBE) results for crystalline CrP2C2 at its relaxed geometry.

Computed properties:
distance to the lowest polymorph of the same formula = 0.304 eV/atom
total magnetic moment = 7.7 μB/cell
calculated formation energy = 5.66 eV/f.u.
crystal system = tetragonal

Lattice parameters (Å, degrees): 3.181 3.181 16.702 90.00 90.00 90.00
Space group I4/mmm (No. 139)
One atom of each set of equivalent atoms:
Cr 0.000 0.000 0.000 [2 per cell]
P 0.000 0.500 0.250 [4 per cell]
C 0.000 0.000 0.461 [4 per cell]

DFT (GGA-PBE) results for crystalline Tb3Ce3MoN8 at its relaxed geometry.

Computed properties:
formation energy from raw total energies = -19.07 eV/f.u.
total magnetic moment = 0.0 μB/cell
crystal system = trigonal

Lattice parameters (Å, degrees): 6.9012 6.9012 16.8041 90.00 90.00 120.00
Space group R-3m (No. 166, hexagonal axes)
One atom of each set of equivalent atoms:
Tb 0.0000 0.5000 0.0000 [9 per cell]
Ce 0.0000 0.5000 0.5000 [9 per cell]
Mo 0.0000 0.0000 0.5000 [3 per cell]
N 0.0000 0.0000 0.2513 [6 per cell]
N 0.0385 0.5192 0.2385 [18 per cell]

DFT (GGA-PBE) results for crystalline Pr8Sm4Tm at its relaxed geometry.

Computed properties:
total magnetic moment = 2.2 μB/cell
calculated formation energy = 5.21 eV/f.u.
crystal system = trigonal

Lattice parameters (Å, degrees): 11.8971 11.8971 11.8520 90.00 90.00 120.00
Space group R-3m (No. 166, hexagonal axes)
One atom of each set of equivalent atoms:
Pr 0.0000 0.0000 0.2417 [6 per cell]
Pr 0.0003 0.5002 0.3306 [18 per cell]
Sm 0.0000 0.0000 0.0000 [3 per cell]
Sm 0.0000 0.5000 0.0000 [9 per cell]
Tm 0.0000 0.0000 0.5000 [3 per cell]

DFT (GGA-PBE) results for crystalline K2CaSc at its relaxed geometry.

Computed properties:
distance to the lowest polymorph of the same formula = 0.137 eV/atom
total magnetic moment = 2.6 μB/cell
calculated formation energy = 1.89 eV/f.u.
crystal system = orthorhombic

Lattice parameters (Å, degrees): 3.934 6.300 14.160 90.00 90.00 90.00
Space group Cmmm (No. 65)
One atom of each set of equivalent atoms:
K 0.000 0.000 0.237 [4 per cell]
Ca 0.000 0.500 0.500 [2 per cell]
Sc 0.000 0.500 0.000 [2 per cell]

DFT (GGA-PBE) results for crystalline Cs2NpAu2S4 at its relaxed geometry.

Computed properties:
formation energy from raw total energies = -7.84 eV/f.u.
total magnetic moment = 6.0 μB/cell
crystal system = monoclinic

Lattice parameters (Å, degrees): 17.927 4.293 7.818 90.00 113.89 90.00
Space group C2/m (No. 12)
One atom of each set of equivalent atoms:
Cs 0.140 0.000 0.119 [4 per cell]
Np 0.000 0.000 0.500 [2 per cell]
Au 0.142 0.500 0.547 [4 per cell]
S 0.001 0.500 0.274 [4 per cell]
S 0.173 0.000 0.690 [4 per cell]

DFT (GGA-PBE) results for crystalline Co2MoAu at its relaxed geometry.

Computed properties:
total magnetic moment = 3.5 μB/cell
calculated formation energy = 1.01 eV/f.u.
crystal system = monoclinic

Lattice parameters (Å, degrees): 9.053 2.730 4.547 90.00 102.81 90.00
Space group Cm (No. 8)
One atom of each set of equivalent atoms:
Co 0.000 0.000 0.000 [2 per cell]
Co 0.225 0.500 0.251 [2 per cell]
Mo 0.248 0.000 0.795 [2 per cell]
Au 0.482 0.000 0.489 [2 per cell]

DFT (GGA-PBE) results for crystalline SmMn6 at its relaxed geometry.

Computed properties:
total magnetic moment = 0.0 μB/cell
calculated formation energy = 4.58 eV/f.u.
crystal system = cubic

Lattice parameters (Å, degrees): 6.102 6.102 6.102 90.00 90.00 90.00
Space group Im-3m (No. 229)
One atom of each set of equivalent atoms:
Sm 0.000 0.000 0.000 [2 per cell]
Mn 0.000 0.250 0.500 [12 per cell]

DFT (GGA-PBE) results for crystalline Pm2CdGa3 at its relaxed geometry.

Computed properties:
distance to the lowest polymorph of the same formula = 0.010 eV/atom
total magnetic moment = 0.0 μB/cell
calculated formation energy = -3.31 eV/f.u.
crystal system = orthorhombic

Lattice parameters (Å, degrees): 4.051 4.511 15.576 90.00 90.00 90.00
Space group Imm2 (No. 44)
One atom of each set of equivalent atoms:
Pm 0.000 0.000 0.000 [2 per cell]
Pm 0.000 0.500 0.277 [2 per cell]
Cd 0.000 0.000 0.600 [2 per cell]
Ga 0.000 0.000 0.431 [2 per cell]
Ga 0.000 0.500 0.685 [2 per cell]
Ga 0.000 0.500 0.844 [2 per cell]

DFT (GGA-PBE) results for crystalline NaGe12Ir4 at its relaxed geometry.

Computed properties:
total magnetic moment = 0.0 μB/cell
calculated formation energy = -1.27 eV/f.u.
crystal system = cubic

Lattice parameters (Å, degrees): 8.723 8.723 8.723 90.00 90.00 90.00
Space group Im-3 (No. 204)
One atom of each set of equivalent atoms:
Na 0.000 0.000 0.000 [2 per cell]
Ge 0.000 0.154 0.349 [24 per cell]
Ir 0.250 0.250 0.250 [8 per cell]

DFT (GGA-PBE) results for crystalline Ti2Ni9Mo at its relaxed geometry.

Computed properties:
total magnetic moment = 1.8 μB/cell
calculated formation energy = -3.18 eV/f.u.
crystal system = tetragonal

Lattice parameters (Å, degrees): 3.619 3.619 10.889 90.00 90.00 90.00
Space group P4/mmm (No. 123)
One atom of each set of equivalent atoms:
Ti 0.000 0.000 0.165 [2 per cell]
Ni 0.000 0.500 0.000 [2 per cell]
Ni 0.000 0.500 0.332 [4 per cell]
Ni 0.500 0.500 0.166 [2 per cell]
Ni 0.500 0.500 0.500 [1 per cell]
Mo 0.000 0.000 0.500 [1 per cell]

DFT (GGA-PBE) results for crystalline Cs3LiPd2F9 at its relaxed geometry.

Computed properties:
formation energy from raw total energies = -31.36 eV/f.u.
total magnetic moment = 0.7 μB/cell
crystal system = trigonal

Lattice parameters (Å, degrees): 6.1853 6.1853 7.5694 90.00 90.00 120.00
Space group P-3m1 (No. 164)
One atom of each set of equivalent atoms:
Cs 0.0000 0.0000 0.0000 [1 per cell]
Cs 0.3333 0.6667 0.6556 [2 per cell]
Li 0.0000 0.0000 0.5000 [1 per cell]
Pd 0.3333 0.6667 0.1634 [2 per cell]
F 0.0000 0.5000 0.0000 [3 per cell]
F 0.1706 0.3412 0.3235 [6 per cell]

DFT (GGA-PBE) results for crystalline Dy2Ho7Er3 at its relaxed geometry.

Computed properties:
distance to the lowest polymorph of the same formula = 0.000 eV/atom
total magnetic moment = 0.0 μB/cell
calculated formation energy = 1.91 eV/f.u.
crystal system = orthorhombic

Lattice parameters (Å, degrees): 5.749 37.058 3.552 90.00 90.00 90.00
Space group Cmmm (No. 65)
One atom of each set of equivalent atoms:
Dy 0.000 0.176 0.000 [4 per cell]
Ho 0.000 0.000 0.000 [2 per cell]
Ho 0.000 0.090 0.500 [4 per cell]
Ho 0.000 0.270 0.000 [4 per cell]
Ho 0.000 0.428 0.000 [4 per cell]
Er 0.000 0.350 0.500 [4 per cell]
Er 0.000 0.500 0.500 [2 per cell]